[1]
Compound: KTcSnPb2
Source: the Alexandria database
Functional: GGA-PBE
Structure: optimized geometry

Lattice parameters (Å, degrees): 5.7720 5.7720 5.7480 90.00 90.00 90.00
Positions (direct):
K (0.0000, 0.0000, 0.0000)
Tc (0.5000, 0.5000, 0.5000)
Sn (0.0000, 0.0000, 0.5000)
Pb (0.0000, 0.5000, 0.0000)
Pb (0.5000, 0.0000, 0.0000)

Properties
space group = No. 123
formation energy = 175.2 kJ per mole of atoms
M_tot = 3.8 μB per formula unit
V = 191.5 Å³/cell


[2]
Compound: KSnTe2Pb
Source: the Alexandria database
Functional: GGA-PBE
Structure: optimized geometry

Lattice parameters (Å, degrees): 6.1725 6.1725 5.7303 90.00 90.00 90.00
Positions (direct):
K (0.0000, 0.0000, 0.0000)
Sn (0.5000, 0.5000, 0.0000)
Te (0.0000, 0.5000, 0.5000)
Te (0.5000, 0.0000, 0.5000)
Pb (0.5000, 0.5000, 0.5000)

Properties
DFT total energy = -2.9764 eV/atom
space group = No. 123
M_tot = 0.0 μB per formula unit
V = 218.3 Å³/cell


Q: Among the records above, which one has the highest V?
A: KSnTe2Pb


Q: Look up the V of the first one.
A: 191.5 Å³/cell